The following is a PBE+U calculation of crystalline FeOsIO2 at its relaxed geometry, from the Alexandria database.

Lattice parameters (Å, degrees): 3.787 3.787 7.716 90.00 90.00 90.00
Space group P4/mmm (No. 123)
Symmetry-distinct sites (fractional):
1 Fe 0.000 0.000 0.000
2 Os 0.500 0.500 0.500
3 I 0.500 0.500 0.000
4 O 0.000 0.500 0.500

Calculated values
**Calculated volume**: 111 Å³ per cell
**VASP energy**: -5.778 eV per atom